## B2Ir2Pd (GGA-PBE)

Data for a relaxed structure of B2Ir2Pd.

Lattice parameters (Å, degrees): 6.4341 6.4341 2.7266 90.00 90.00 90.00
Last column: nearest neighbours and their distance in Å.
Positions (direct):
Pd 0.0000 0.0000 0.0000  4 B 2.46, 2 Pd 2.73
B 0.8527 0.6473 0.0000  6 Ir 2.30-2.34, 2 Pd 2.46
Ir 0.8509 0.3509 0.5000  6 B 2.30-2.34
B 0.1473 0.3527 0.0000  6 Ir 2.30-2.34, 2 Pd 2.46
Pd 0.5000 0.5000 0.0000  4 B 2.46, 2 Pd 2.73
B 0.3527 0.8527 0.0000  6 Ir 2.30-2.34, 2 Pd 2.46
Ir 0.1491 0.6491 0.5000  6 B 2.30-2.34
Ir 0.3509 0.1491 0.5000  6 B 2.30-2.34
Ir 0.6491 0.8509 0.5000  6 B 2.30-2.34
B 0.6473 0.1473 0.0000  6 Ir 2.30-2.34, 2 Pd 2.46

Its space group is P4/mbm, No. 127. Its volume is 112.87 Å³ per cell. The total energy comes out at -7.23 eV per atom. The calculation puts the excess energy over the best structure of this formula in the dataset at 77.5 meV per atom. Its formation energy is 0.027 eV per atom.


## Ti8Pt2O (GGA-PBE)

Data for a relaxed structure of Ti8Pt2O.

Lattice parameters (Å, degrees): 4.6466 5.4789 7.4014 106.18 108.29 90.00
Last column: nearest neighbours and their distance in Å.
Positions (direct):
Ti 0.6295 0.9448 0.2591  1 O 1.93
Ti 0.0072 0.7545 0.0144  1 Pt 2.61, 2 O 2.70, 6 Ti 2.71-2.90
Ti 0.3705 0.0552 0.7409  1 O 1.93
Pt 0.8141 0.2954 0.6282  5 Ti 2.53-2.75
Pt 0.1859 0.7046 0.3718  5 Ti 2.53-2.75
Ti 0.5883 0.4161 0.1766  1 O 2.25
Ti 0.9928 0.2455 0.9856  1 Pt 2.61, 2 O 2.70, 6 Ti 2.71-2.90
Ti 0.4117 0.5839 0.8234  1 O 2.25
Ti 0.2066 0.2616 0.4133  3 Pt 2.53-2.75
O 0.5000 0.0000 0.0000  2 Ti 1.93
Ti 0.7934 0.7384 0.5867  3 Pt 2.53-2.75

Its space group is C2/m, No. 12. Its volume is 171.02 Å³ per cell. As for the formation energy (no corrections): -745 kJ/mol of formula units. The total energy comes out at -7.99 eV per atom.


Size of the total moment / μB per atom: 0.0000 0.0001